Entry 1:
Ce2ZnReN5 (GGA-PBE, relaxed); space group = Cmc2_1; formation energy without anion corrections = -0.6851 eV per atom; density of states at the Fermi level = 1.55 states/eV/f.u.
1.0
-2.407 -2.153 0.972
0.360 -0.929 -7.015
6.659 -6.879 1.253
N Zn Ce Re
10 2 4 2
Direct
0.500 0.001 0.769 N
0.500 0.999 0.269 N
0.358 0.715 0.011 N
0.291 0.581 0.373 N
0.709 0.419 0.873 N
0.642 0.285 0.511 N
0.714 0.428 0.147 N
0.076 0.152 0.021 N
0.924 0.848 0.521 N
0.286 0.572 0.647 N
0.507 0.014 0.987 Zn
0.493 0.986 0.487 Zn
0.875 0.750 0.221 Ce
0.869 0.738 0.788 Ce
0.131 0.262 0.288 Ce
0.125 0.250 0.721 Ce
0.216 0.432 0.007 Re
0.784 0.568 0.507 Re

=====

Entry 2:
Te2RuSe (GGA-PBE, relaxed); space group = R-3m; formation energy without anion corrections = 0.0677 eV per atom; density of states at the Fermi level = 3.77 states/eV/f.u.
1.0
2.298 0.000 8.054
-1.149 1.990 8.054
-1.149 -1.990 8.054
Ru Se Te
1 1 2
Direct
0.500 0.500 0.500 Ru
0.000 0.000 0.000 Se
0.889 0.889 0.889 Te
0.111 0.111 0.111 Te

=====

Entry 3:
KAuSe (GGA-PBE, relaxed); space group = Imm2; formation energy without anion corrections = -0.1847 eV per atom; density of states at the Fermi level = 1.33 states/eV/f.u.
1.0
-1.334 5.540 -0.262
-1.383 1.731 -5.256
-1.158 -3.190 4.585
K Au Se
1 1 1
Direct
0.673 0.673 0.000 K
0.027 0.027 0.000 Au
0.301 0.301 0.000 Se

=====

Entry 4:
NbMoAs2Se (GGA-PBE, relaxed); space group = P4/mmm; formation energy without anion corrections = 0.7990 eV per atom; density of states at the Fermi level = 3.00 states/eV/f.u.; energy above the lowest structure with this stoichiometry = 0.232 kcal/mol of atoms
1.0
-4.090 -1.354 -2.531
-2.236 -1.259 4.288
-1.795 4.630 0.423
As Mo Nb Se
2 1 1 1
Direct
0.000 0.500 0.000 As
0.500 0.000 0.000 As
0.500 0.500 0.500 Mo
0.000 0.000 0.000 Nb
0.000 0.000 0.500 Se

=====

Entry 5:
Ac2TmH8 (GGA-PBE, relaxed); space group = Immm; density of states at the Fermi level = 0.99 states/eV/f.u.; final energy = -4.147 eV per atom
1.0
-2.861 2.323 1.603
-3.661 -3.833 -0.979
4.336 -1.653 5.094
H Ac Tm
8 2 1
Direct
0.645 0.906 0.290 H
0.814 0.814 0.628 H
0.355 0.615 0.710 H
0.000 0.779 0.000 H
0.355 0.094 0.710 H
0.000 0.221 0.000 H
0.186 0.186 0.372 H
0.645 0.385 0.290 H
0.832 0.332 0.665 Ac
0.168 0.668 0.335 Ac
0.500 0.000 0.000 Tm

=====

Entry 6:
CsKAg2Br5 (GGA-PBE, relaxed); space group = P4/mmm; formation energy without anion corrections = -0.9722 eV per atom; density of states at the Fermi level = 2.43 states/eV/f.u.
1.0
-0.808 2.393 -4.705
-1.841 -4.589 -2.018
-10.014 2.666 3.076
Ag K Br Cs
2 1 5 1
Direct
0.500 0.500 0.762 Ag
0.500 0.500 0.238 Ag
0.000 0.000 0.000 K
0.500 0.500 0.500 Br
0.500 0.000 0.801 Br
0.000 0.500 0.801 Br
0.500 0.000 0.199 Br
0.000 0.500 0.199 Br
0.000 0.000 0.500 Cs

=====

Entry 7:
CaHfPb2 (GGA-PBE, relaxed); calculated formation energy = 0.32 eV/atom; space group = I-42d; density of states at the Fermi level = 3.88 states/eV/f.u.; energy above the lowest structure with this stoichiometry = 11.512 kcal/mol of atoms
1.0
5.069 0.000 0.000
0.000 5.069 0.000
2.535 2.535 10.147
Pb Hf Ca
4 2 2
Direct
0.375 0.317 0.750 Pb
0.683 0.125 0.250 Pb
0.067 0.625 0.250 Pb
0.875 0.933 0.750 Pb
0.000 0.000 0.000 Hf
0.750 0.250 0.500 Hf
0.500 0.500 0.000 Ca
0.250 0.750 0.500 Ca

=====

Entry 8:
BaHPt (GGA-PBE, relaxed); space group = P-1; density of states at the Fermi level = 1.06 states/eV/f.u.; energy above the lowest structure with this stoichiometry = 0.483 kcal/mol of atoms
1.0
4.392 0.001 0.680
0.000 4.358 -0.002
1.111 -0.002 7.460
H Pt Ba
2 2 2
Direct
0.988 0.219 0.049 H
0.635 0.714 0.743 H
0.754 0.717 0.510 Pt
0.869 0.216 0.283 Pt
0.442 0.716 0.139 Ba
0.182 0.216 0.654 Ba